[1]
The following is a PBE calculation of a relaxed DyTlGe2I8 crystal, from Alexandria.

Properties
Its uncorrected formation energy is -0.67 eV/atom. As for the space group: No. 2.

abc: 7.187 7.717 9.564
angles: 85.69 87.39 86.72
Atoms (fractional coordinates):
Dy 0.000 0.000 0.000
Tl 0.000 0.000 0.500
Ge 0.463 0.464 0.745
Ge 0.537 0.536 0.255
I 0.238 0.323 0.977
I 0.246 0.828 0.780
I 0.258 0.843 0.226
I 0.276 0.359 0.528
I 0.724 0.641 0.472
I 0.742 0.157 0.774
I 0.754 0.172 0.220
I 0.762 0.677 0.023


[2]
The following is a PBE calculation of a relaxed NdMg3Ag2 crystal, from Alexandria.

Properties
As for the space group: No. 12.

abc: 8.522 8.522 8.025
angles: 113.25 113.25 31.78
Atoms (fractional coordinates):
Nd 0.125 0.125 0.189
Nd 0.875 0.875 0.811
Mg 0.058 0.058 0.701
Mg 0.309 0.309 0.082
Mg 0.369 0.369 0.497
Mg 0.631 0.631 0.503
Mg 0.691 0.691 0.918
Mg 0.942 0.942 0.299
Ag 0.226 0.226 0.687
Ag 0.486 0.486 0.160
Ag 0.514 0.514 0.840
Ag 0.774 0.774 0.313


[3]
The following is a PBE calculation of a relaxed LaAlAgPd crystal, from Alexandria.

Properties
As for the space group: No. 216.

abc: 4.943 4.943 4.943
angles: 60.00 60.00 60.00
Atoms (fractional coordinates):
La 0.000 0.000 0.000
Al 0.500 0.500 0.500
Ag 0.750 0.750 0.750
Pd 0.250 0.250 0.250


[4]
The following is a PBE calculation of a relaxed ZrAgSb2 crystal, from Alexandria.

Properties
Its uncorrected formation energy is -0.28 eV/atom. As for the space group: No. 99.

abc: 3.988 3.988 5.912
angles: 90.00 90.00 90.00
Atoms (fractional coordinates):
Zr 0.000 0.000 0.000
Ag 0.500 0.500 0.319
Sb 0.000 0.000 0.481
Sb 0.500 0.500 0.839


[5]
The following is a PBE calculation of a relaxed Cs3Tl2Br4Cl2 crystal, from Alexandria.

Properties
Its uncorrected formation energy is -1.34 eV/atom. As for the space group: No. 139.

abc: 14.350 14.350 14.350
angles: 155.74 155.74 34.57
Atoms (fractional coordinates):
Cs 0.000 0.000 0.000
Cs 0.178 0.178 0.000
Cs 0.822 0.822 0.000
Tl 0.401 0.401 0.000
Tl 0.599 0.599 0.000
Br 0.085 0.585 0.500
Br 0.415 0.915 0.500
Br 0.585 0.085 0.500
Br 0.915 0.415 0.500
Cl 0.300 0.300 0.000
Cl 0.700 0.700 0.000


One value per record, in order, for electronic total energy: -36.7; -32.6; -18.5; -20.8; -32.4 eV per cell.
One value per record, in order, for total magnetic moment: 0.00; 0.00; 0.00; 0.00; 0.00 μB per formula unit.